No. 1
First-principles (PBE) data for crystalline TaCuHg2 at its relaxed geometry, as listed in the Alexandria database.

## Properties
**ΔH_f (0 K)**: 437 meV/atom
**Electronic total energy**: -14.8 eV/cell
**SG**: Imm2, No. 44

abc: 6.0094 6.0094 6.0094
angles: 152.75 129.29 58.52
Closest atoms and distances in Å follow each position.
Fractional coordinates of all 4 atoms:
Hg 0.0148 0.0148 0.0000  2 Hg 2.83, 4 Ta 2.96, 2 Cu 2.98
Ta 0.4835 0.4835 0.0000  2 Cu 2.70, 2 Ta 2.83, 6 Hg 2.96-3.01
Hg 0.7371 0.2371 0.5000  2 Hg 2.83, 4 Cu 2.95, 2 Ta 3.01
Cu 0.2646 0.7646 0.5000  2 Ta 2.70, 2 Cu 2.83, 6 Hg 2.95-2.98


No. 2
First-principles (PBE) data for crystalline Ca5MgNi4 at its relaxed geometry, as listed in the Alexandria database.

## Properties
**ΔH_f (0 K)**: -101 meV/atom
**Electronic total energy**: -35.7 eV/cell
**SG**: C2/m, No. 12

abc: 3.9843 7.5396 9.5806
angles: 115.70 102.00 90.00
Closest atoms and distances in Å follow each position.
Fractional coordinates of all 10 atoms:
Ca 0.8070 0.2090 0.6141  4 Ni 2.87-3.12
Ni 0.3762 0.0590 0.7524  2 Ni 2.37, 1 Mg 2.55
Ni 0.6238 0.9410 0.2476  2 Ni 2.37, 1 Mg 2.55
Mg 0.5000 0.0000 0.0000  6 Ni 2.55-2.68
Ni 0.9521 0.1588 0.9043  2 Ni 2.37
Ni 0.0479 0.8412 0.0957  2 Ni 2.37
Ca 0.5000 0.5000 0.0000  6 Ni 3.06-3.10
Ca 0.1445 0.2566 0.2889  3 Ni 2.84-2.99
Ca 0.8555 0.7434 0.7111  3 Ni 2.84-2.99
Ca 0.1930 0.7910 0.3859  4 Ni 2.87-3.12


No. 3
First-principles (PBE) data for crystalline CaNpPb2O8 at its relaxed geometry, as listed in the Alexandria database.

## Properties
**Electronic total energy**: -84.5 eV/cell
**SG**: Cmmm, No. 65
**Formation energy from raw total energies**: -181.0 kJ per mole of atoms

abc: 5.1988 5.1965 6.8000
angles: 90.00 90.00 89.56
Closest atoms and distances in Å follow each position.
Fractional coordinates of all 12 atoms:
O 0.8168 0.1842 0.7842  1 Np 1.99
Pb 0.5000 0.5000 0.7483  6 O 2.18-2.33
O 0.3050 0.3038 0.0000  2 Pb 2.24, 1 Np 2.25
O 0.3129 0.3122 0.5000  2 Pb 2.18, 1 Ca 2.31
O 0.6950 0.6962 0.0000  2 Pb 2.24, 1 Np 2.25
Ca 0.0000 0.0000 0.5000  6 O 2.31-2.35
O 0.6871 0.6878 0.5000  2 Pb 2.18, 1 Ca 2.31
O 0.8168 0.1842 0.2158  1 Np 1.99
Pb 0.5000 0.5000 0.2517  6 O 2.18-2.33
O 0.1832 0.8158 0.2158  1 Np 1.99
O 0.1832 0.8158 0.7842  1 Np 1.99
Np 0.0000 0.0000 0.0000  4 O 1.99


No. 4
First-principles (PBE) data for crystalline NiPt6Rh5 at its relaxed geometry, as listed in the Alexandria database.

## Properties
**ΔH_f (0 K)**: -26 meV/atom
**Electronic total energy**: -79.1 eV/cell
**SG**: Immm, No. 71

abc: 3.8937 7.2803 7.2803
angles: 106.51 105.51 105.51
Closest atoms and distances in Å follow each position.
Fractional coordinates of all 12 atoms:
Ni 0.0000 0.0000 0.0000  8 Pt 2.73, 4 Rh 2.74
Rh 0.5000 0.8344 0.1656  8 Pt 2.72-2.79, 2 Ni 2.74, 2 Rh 2.77
Rh 0.0000 0.3342 0.6658  4 Rh 2.74-2.77, 8 Pt 2.75-2.77
Rh 0.0000 0.6658 0.3342  4 Rh 2.74-2.77, 8 Pt 2.75-2.77
Pt 0.7528 0.9184 0.5872  1 Ni 2.73, 7 Rh 2.74-2.79, 4 Pt 2.74-2.77
Pt 0.7528 0.5872 0.9184  1 Ni 2.73, 7 Rh 2.74-2.79, 4 Pt 2.74-2.77
Rh 0.5000 0.5000 0.5000  4 Rh 2.74, 8 Pt 2.76-2.78
Pt 0.7450 0.2450 0.2450  6 Rh 2.72-2.78, 2 Ni 2.73, 4 Pt 2.74
Pt 0.2472 0.0816 0.4128  1 Ni 2.73, 7 Rh 2.74-2.79, 4 Pt 2.74-2.77
Pt 0.2550 0.7550 0.7550  6 Rh 2.72-2.78, 2 Ni 2.73, 4 Pt 2.74
Rh 0.5000 0.1656 0.8344  8 Pt 2.72-2.79, 2 Ni 2.74, 2 Rh 2.77
Pt 0.2472 0.4128 0.0816  1 Ni 2.73, 7 Rh 2.74-2.79, 4 Pt 2.74-2.77


No. 5
First-principles (PBE) data for crystalline Pr2NdMg4 at its relaxed geometry, as listed in the Alexandria database.

## Properties
**Excess energy over the best structure of this formula in the dataset**: 0.000 eV/atom
**ΔH_f (0 K)**: 108 meV/atom
**Electronic total energy**: -20.0 eV/cell
**SG**: I4/mmm, No. 139

abc: 5.4937 5.4937 8.4324
angles: 109.01 109.01 90.00
Closest atoms and distances in Å follow each position.
Fractional coordinates of all 7 atoms:
Nd 0.0000 0.0000 0.0000  8 Mg 3.24
Mg 0.1152 0.6152 0.2304  2 Nd 3.24, 4 Pr 3.37-3.45, 1 Mg 3.45
Mg 0.6152 0.1152 0.2304  2 Nd 3.24, 4 Pr 3.37-3.45, 1 Mg 3.45
Mg 0.8848 0.3848 0.7696  2 Nd 3.24, 4 Pr 3.37-3.45, 1 Mg 3.45
Pr 0.7452 0.7452 0.4905  8 Mg 3.37-3.45
Mg 0.3848 0.8848 0.7696  2 Nd 3.24, 4 Pr 3.37-3.45, 1 Mg 3.45
Pr 0.2548 0.2548 0.5095  8 Mg 3.37-3.45


No. 6
First-principles (PBE) data for crystalline Li2MgPbCl6 at its relaxed geometry, as listed in the Alexandria database.

## Properties
**Electronic total energy**: -36.2 eV/cell
**SG**: R3, No. 146
**Formation energy from raw total energies**: -153.8 kJ per mole of atoms

abc: 6.6554 6.6556 7.2018
angles: 62.47 62.46 59.98
Closest atoms and distances in Å follow each position.
Fractional coordinates of all 10 atoms:
Pb 0.8125 0.8127 0.5621  6 Cl 2.86-2.96
Cl 0.5860 0.2509 0.2401  2 Li 2.54-2.78, 1 Mg 2.54
Cl 0.3671 0.7252 0.7660  1 Li 2.48, 1 Mg 2.55
Cl 0.7253 0.1416 0.7661  1 Li 2.48, 1 Mg 2.55
Li 0.0126 0.0125 0.9628  3 Cl 2.48
Cl 0.2510 0.9229 0.2401  2 Li 2.54-2.78, 1 Mg 2.54
Mg 0.3217 0.3217 0.0348  6 Cl 2.54-2.55
Li 0.5210 0.5211 0.4367  6 Cl 2.54-2.80
Cl 0.9229 0.5859 0.2403  1 Mg 2.54, 2 Li 2.54-2.79
Cl 0.1417 0.3671 0.7661  1 Li 2.48, 1 Mg 2.55


No. 7
First-principles (PBE) data for crystalline TcPRhS2 at its relaxed geometry, as listed in the Alexandria database.

## Properties
**Excess energy over the best structure of this formula in the dataset**: 0.164 eV/atom
**Electronic total energy**: -26.7 eV/cell
**SG**: P4/mmm, No. 123
**Formation energy from raw total energies**: 91.3 kJ per mole of atoms

abc: 4.7166 4.7166 4.4129
angles: 90.00 90.00 90.00
Closest atoms and distances in Å follow each position.
Fractional coordinates of all 5 atoms:
Tc 0.5000 0.5000 0.5000  8 S 3.23, 4 P 3.34
S 0.5000 0.0000 0.0000  2 Rh 2.36
Rh 0.0000 0.0000 0.0000  2 P 2.21, 4 S 2.36
S 0.0000 0.5000 0.0000  2 Rh 2.36
P 0.0000 0.0000 0.5000  2 Rh 2.21


No. 8
First-principles (PBE) data for crystalline Dy3Ho2Si4 at its relaxed geometry, as listed in the Alexandria database.

## Properties
**Electronic total energy**: -102.6 eV/cell
**SG**: P2_1/c, No. 14
**Formation energy from raw total energies**: -71.1 kJ per mole of atoms

abc: 7.4111 7.6162 7.6760
angles: 90.00 90.00 106.24
Closest atoms and distances in Å follow each position.
Fractional coordinates of all 18 atoms:
Si 0.8775 0.4889 0.1208  1 Si 2.57
Dy 0.2538 0.2421 0.6817  6 Si 2.82-2.97
Dy 0.0000 0.5000 0.5000  6 Si 2.97-3.07
Dy 0.5000 0.5000 0.0000  6 Si 2.97-3.07
Si 0.1225 0.5111 0.8792  1 Si 2.57
Ho 0.0899 0.2009 0.1826  6 Si 3.00-3.28
Dy 0.2462 0.7579 0.1817  6 Si 2.82-2.97
Si 0.6225 0.5111 0.6208  1 Si 2.57
Si 0.3784 0.0813 0.9727  1 Si 2.49
Si 0.1216 0.9187 0.4727  1 Si 2.49
Dy 0.7462 0.7579 0.3183  6 Si 2.82-2.97
Ho 0.4101 0.7991 0.6826  6 Si 3.00-3.28
Si 0.8784 0.0813 0.5273  1 Si 2.49
Si 0.6216 0.9187 0.0273  1 Si 2.49
Si 0.3775 0.4889 0.3792  1 Si 2.57
Ho 0.5899 0.2009 0.3174  6 Si 3.00-3.28
Ho 0.9101 0.7991 0.8174  6 Si 3.00-3.28
Dy 0.7538 0.2421 0.8183  6 Si 2.82-2.97


No. 9
First-principles (PBE) data for crystalline RhSe at its relaxed geometry, as listed in the Alexandria database.

## Properties
**Electronic total energy**: -44.2 eV/cell
**SG**: F-43m, No. 216
**Formation energy from raw total energies**: -10.9 kJ per mole of atoms

abc: 5.5663 5.5663 5.5663
angles: 90.00 90.00 90.00
Closest atoms and distances in Å follow each position.
Fractional coordinates of all 8 atoms:
Se 0.7500 0.7500 0.2500  4 Rh 2.41
Se 0.2500 0.2500 0.2500  4 Rh 2.41
Rh 0.5000 0.0000 0.5000  4 Se 2.41
Rh 0.0000 0.0000 0.0000  4 Se 2.41
Se 0.2500 0.7500 0.7500  4 Rh 2.41
Rh 0.5000 0.5000 0.0000  4 Se 2.41
Rh 0.0000 0.5000 0.5000  4 Se 2.41
Se 0.7500 0.2500 0.7500  4 Rh 2.41


No. 10
First-principles (PBE) data for crystalline RbLiSiBr2 at its relaxed geometry, as listed in the Alexandria database.

## Properties
**Electronic total energy**: -10.3 eV/cell
**SG**: P4/mmm, No. 123
**Formation energy from raw total energies**: 25.9 kJ per mole of atoms

abc: 6.1861 6.2684 6.1861
angles: 90.00 90.00 90.00
Closest atoms and distances in Å follow each position.
Fractional coordinates of all 5 atoms:
Li 0.0000 0.5000 0.0000  2 Rb 3.13
Br 0.5000 0.0000 0.0000  2 Rb 3.09
Rb 0.0000 0.0000 0.0000  4 Br 3.09, 2 Li 3.13
Si 0.5000 0.5000 0.5000  4 Li 4.37, 8 Br 4.40
Br 0.0000 0.0000 0.5000  2 Rb 3.09


No. 11
First-principles (PBE) data for crystalline Y2NiIrOs at its relaxed geometry, as listed in the Alexandria database.

## Properties
**ΔH_f (0 K)**: 692 meV/atom
**Electronic total energy**: -35.3 eV/cell
**SG**: P4/mmm, No. 123

abc: 5.2615 4.4264 5.2615
angles: 90.00 90.00 90.00
Closest atoms and distances in Å follow each position.
Fractional coordinates of all 5 atoms:
Ir 0.0000 0.0000 0.0000  2 Ni 2.21
Y 0.5000 0.0000 0.0000  2 Ir 2.63
Os 0.5000 0.5000 0.5000  8 Y 3.44, 4 Ni 3.72
Ni 0.0000 0.5000 0.0000  2 Ir 2.21
Y 0.0000 0.0000 0.5000  2 Ir 2.63


No. 12
First-principles (PBE) data for crystalline TmMg2Tl at its relaxed geometry, as listed in the Alexandria database.

## Properties
**Excess energy over the best structure of this formula in the dataset**: 0.108 eV/atom
**ΔH_f (0 K)**: -80 meV/atom
**Electronic total energy**: -10.3 eV/cell
**SG**: P2/m, No. 10

abc: 5.0485 3.3566 6.1012
angles: 101.05 90.00 90.00
Closest atoms and distances in Å follow each position.
Fractional coordinates of all 4 atoms:
Tm 0.5000 0.5000 0.0000  2 Tl 3.19, 8 Mg 3.34-3.45, 2 Tm 3.36
Mg 0.0000 0.8766 0.7459  2 Tl 3.01, 4 Mg 3.05-3.36, 2 Tm 3.34
Mg 0.0000 0.1234 0.2541  2 Tl 3.01, 4 Mg 3.05-3.36, 2 Tm 3.34
Tl 0.5000 0.0000 0.5000  4 Mg 3.01, 2 Tm 3.19, 2 Tl 3.36


What did the first record say?
First-principles (PBE) data for crystalline TaCuHg2 at its relaxed geometry, as listed in the Alexandria database.

## Properties
**ΔH_f (0 K)**: 437 meV/atom
**Electronic total energy**: -14.8 eV/cell
**SG**: Imm2, No. 44

abc: 6.0094 6.0094 6.0094
angles: 152.75 129.29 58.52
Closest atoms and distances in Å follow each position.
Fractional coordinates of all 4 atoms:
Hg 0.0148 0.0148 0.0000  2 Hg 2.83, 4 Ta 2.96, 2 Cu 2.98
Ta 0.4835 0.4835 0.0000  2 Cu 2.70, 2 Ta 2.83, 6 Hg 2.96-3.01
Hg 0.7371 0.2371 0.5000  2 Hg 2.83, 4 Cu 2.95, 2 Ta 3.01
Cu 0.2646 0.7646 0.5000  2 Ta 2.70, 2 Cu 2.83, 6 Hg 2.95-2.98


- Which formula does entry 2 have?
  Ca5MgNi4


- Which value of electronic total energy does entry 8 give?
  -102.6 eV/cell


- Which value of electronic total energy does entry 7 give?
  -26.7 eV/cell